The following is a PBE with a Hubbard U calculation of CaTm2VO6 after structural relaxation, from Alexandria.

The structure belongs to space group P1 (No. 1); the cell edges are 5.527, 5.577 and 5.838 Å and the angles 61.69°, 62.45° and 60.32°. The asymmetric unit holds Ca at (0.000, 0.000, 0.000), Tm at (0.218, 0.212, 0.348), Tm at (0.721, 0.727, 0.829), V at (0.513, 0.519, 0.451), O at (0.147, 0.782, 0.648), O at (0.335, 0.596, 0.184), O at (0.409, 0.154, 0.651), O at (0.594, 0.891, 0.172), O at (0.762, 0.425, 0.643) and O at (0.882, 0.337, 0.176).

The magnetic moment comes out at 1.0 Bohr magnetons per cell. Its total energy is -7.826 eV per atom.